Material: NaSmPtO4
Method: DFT, PBE
State: relaxed

crystal system = orthorhombic
E_form (uncorrected) = -1.76 eV/atom
symmetry = Imma (74)

Lattice parameters (Å, degrees): 6.5068 6.6430 7.1432 122.52 90.00 119.32
With the nearest neighbours (Å) after each atom.
Positions (direct):
Na  0.8885  0.7770  0.1385  2 O 2.17
Na  0.1115  0.2230  0.8615  2 O 2.17
Sm  0.5000  0.0000  0.5000  6 O 2.31-2.39
Sm  0.5000  0.0000  0.0000  6 O 2.31-2.39
Pt  0.5000  0.5000  0.5000  6 O 2.08-2.10
Pt  0.0000  0.5000  0.5000  6 O 2.08-2.10
O  0.7576  0.5152  0.6927  2 Pt 2.10
O  0.2987  0.0450  0.2725  1 Pt 2.08, 1 Na 2.17, 2 Sm 2.31
O  0.7463  0.0450  0.2725  1 Pt 2.08, 1 Na 2.17, 2 Sm 2.31
O  0.7576  0.5152  0.3225  2 Pt 2.10
O  0.2424  0.4848  0.6775  2 Pt 2.10
O  0.7013  0.9550  0.7275  1 Pt 2.08, 1 Na 2.17, 2 Sm 2.31
O  0.2537  0.9550  0.7275  1 Pt 2.08, 1 Na 2.17, 2 Sm 2.31
O  0.2424  0.4848  0.3073  2 Pt 2.10

---

Material: CaTb4Sm8
Method: DFT, PBE
State: relaxed

DOS(E_F) = 18.63 states/eV/cell
crystal system = monoclinic
symmetry = C2/m (12)
DFT formation energy = 0.04 eV per atom

Lattice parameters (Å, degrees): 5.1233 6.2755 16.5922 108.29 81.12 65.91
With the nearest neighbours (Å) after each atom.
Positions (direct):
Ca  0.0000  0.0000  0.0000  8 Sm 3.63-3.67, 4 Tb 3.70
Tb  0.3096  0.8431  0.5377  9 Sm 3.58-3.63, 3 Tb 3.59-3.63
Tb  0.6904  0.1569  0.4623  9 Sm 3.58-3.63, 3 Tb 3.59-3.63
Tb  0.7804  0.5985  0.8407  10 Sm 3.56-3.74, 2 Ca 3.70
Tb  0.2196  0.4015  0.1593  10 Sm 3.56-3.74, 2 Ca 3.70
Sm  0.4576  0.7755  0.3092  5 Tb 3.58-3.61, 7 Sm 3.58-3.64
Sm  0.5424  0.2245  0.6908  5 Tb 3.58-3.61, 7 Sm 3.58-3.64
Sm  0.6129  0.6937  0.0805  5 Sm 3.58-3.68, 4 Tb 3.58-3.74, 3 Ca 3.63-3.65
Sm  0.3871  0.3063  0.9195  5 Sm 3.58-3.68, 4 Tb 3.58-3.74, 3 Ca 3.63-3.65
Sm  0.9248  0.5361  0.6143  6 Tb 3.58-3.63, 6 Sm 3.59-3.63
Sm  0.0752  0.4639  0.3857  6 Tb 3.58-3.63, 6 Sm 3.59-3.63
Sm  0.8421  0.0815  0.2343  4 Tb 3.56-3.65, 7 Sm 3.60-3.64, 1 Ca 3.67
Sm  0.1579  0.9185  0.7657  4 Tb 3.56-3.65, 7 Sm 3.60-3.64, 1 Ca 3.67

---

Material: CaLaTl
Method: DFT, PBE
State: relaxed

DOS(E_F) = 3.06 states/eV/cell
crystal system = orthorhombic
energy relative to the lowest polymorph listed for this composition = 0.203 eV per atom
symmetry = Imm2 (44)
DFT formation energy = -0.19 eV per atom

Lattice parameters (Å, degrees): 6.5690 6.5690 6.5690 148.13 138.43 53.32
With the nearest neighbours (Å) after each atom.
Positions (direct):
Tl  0.6618  0.6618  0.0000  4 Ca 3.36, 4 La 3.44, 2 Tl 3.61
Ca  0.0245  0.0245  0.0000  4 Tl 3.36, 1 La 3.40, 2 Ca 3.61
La  0.3137  0.3137  0.0000  1 Ca 3.40, 4 Tl 3.44, 2 La 3.61

---

Material: Nd2DyZn2Sn2
Method: DFT, PBE
State: relaxed

DOS(E_F) = 6.88 states/eV/cell
crystal system = trigonal
symmetry = R-3m (166)
DFT formation energy = -0.36 eV per atom

Lattice parameters (Å, degrees): 4.6558 4.6558 10.0222 76.57 76.57 60.00
With the nearest neighbours (Å) after each atom.
Positions (direct):
Nd  0.1290  0.1290  0.6130  3 Zn 3.05, 3 Sn 3.32
Nd  0.8710  0.8710  0.3870  3 Zn 3.05, 3 Sn 3.32
Dy  0.0000  0.0000  0.0000  6 Sn 3.23, 6 Zn 3.54
Zn  0.5873  0.5873  0.2382  3 Sn 2.74, 3 Nd 3.05
Zn  0.4127  0.4127  0.7618  3 Sn 2.74, 3 Nd 3.05
Sn  0.7285  0.7285  0.8145  3 Zn 2.74
Sn  0.2715  0.2715  0.1855  3 Zn 2.74